GeSb2PdI: relaxed, GGA-PBE.

SG: P4/mmm
Energy above the most stable polymorph in this dataset: 65 meV per atom
E_form (uncorrected): 513 meV per atom

```
5
Lattice="-2.019 4.169 2.372 -1.127 -2.914 4.162 4.960 1.172 2.164" Properties=species:S:1:pos:R:3 pbc="T T T"
Ge 0.907 1.213 4.349
Sb -1.010 2.085 1.186
I 2.480 0.586 1.082
Sb -0.564 -1.457 2.081
Pd 0.000 0.000 0.000
```

***

Th2UAs3: relaxed, GGA-PBE.

SG: I4/mmm
Calculated formation energy: -26.701 kcal/mol of atoms

```
6
Lattice="0.882 9.071 2.316 -4.190 8.388 -0.719 0.199 -9.238 1.746" Properties=species:S:1:pos:R:3 pbc="T T T"
As -2.767 14.604 1.336
As -1.654 8.729 0.799
Th -1.102 5.818 0.532
As -0.541 2.854 0.261
U 0.000 0.000 0.000
Th -2.205 11.641 1.065
```

***

SrZrInC2: relaxed, GGA-PBE.

SG: P4/mmm
Calculated formation energy: 36.130 kcal/mol of atoms

```
5
Lattice="-3.427 2.528 1.510 -0.454 -3.499 4.826 2.924 2.651 2.198" Properties=species:S:1:pos:R:3 pbc="T T T"
C 1.462 1.326 1.099
Zr 0.000 0.000 0.000
Sr -0.227 -1.750 2.413
C -1.713 1.264 0.755
In -0.478 0.840 4.267
```

***

NiSe3: relaxed, GGA-PBE.

SG: Im-3m
E_form (uncorrected): 101 meV per atom

```
4
Lattice="-0.422 3.818 2.504 -2.362 -3.395 1.981 4.426 -1.171 -0.267" Properties=species:S:1:pos:R:3 pbc="T T T"
Ni 0.000 0.000 0.000
Se -1.392 0.212 2.242
Se 1.032 -2.283 0.857
Se 2.002 1.324 1.119
```